Entry 1:
16
Lattice="4.244 2.450 7.436 -4.244 2.450 7.436 0.000 -4.901 7.436" Properties=species:S:1:pos:R:3 comment="Sm8GeTe4Pt3 (PBE, relaxed)" e_form_raw_kj_per_mol_atoms=-118 mass_density_g_cm3=8.5 pbc="T T T"
Sm -2.142 -1.237 12.784
Sm 0.000 0.000 5.309
Sm 0.000 -2.473 9.523
Sm -2.142 1.237 9.523
Sm 2.142 -1.237 12.784
Sm 0.000 2.473 12.784
Sm 0.000 0.000 16.997
Sm 2.142 1.237 9.523
Ge 0.000 0.000 11.153
Te 0.000 0.000 0.000
Te -2.122 -1.225 7.436
Te -2.122 1.225 14.871
Te 0.000 2.450 7.436
Pt -4.244 0.000 11.153
Pt -2.122 1.225 3.718
Pt 2.122 1.225 3.718


Entry 2:
9
Lattice="4.372 0.000 0.000 0.000 4.372 0.000 0.000 0.000 8.927" Properties=species:S:1:pos:R:3 comment="SmThGe2Pt5 (PBE, relaxed)" e_tot_ev_per_cell=-59.7 mass_density_g_cm3=14.6 pbc="T T T"
Sm 0.000 0.000 0.000
Th 0.000 0.000 4.463
Ge 2.186 2.186 3.232
Ge 2.186 2.186 5.695
Pt 0.000 2.186 2.046
Pt 0.000 2.186 6.881
Pt 2.186 0.000 2.046
Pt 2.186 0.000 6.881
Pt 2.186 2.186 0.000


Entry 3:
10
Lattice="4.383 0.000 0.000 0.000 4.383 0.000 0.000 0.000 11.184" Properties=species:S:1:pos:R:3 comment="Sm2ThGe3Pt4 (PBE, relaxed)" e_tot_ev_per_cell=-64.0 mass_density_g_cm3=11.8 pbc="T T T"
Sm 0.000 2.191 2.365
Sm 2.191 0.000 8.819
Th 0.000 0.000 5.592
Ge 0.000 2.191 9.848
Ge 2.191 0.000 1.336
Ge 2.191 2.191 5.592
Pt 0.000 0.000 0.000
Pt 0.000 2.191 7.393
Pt 2.191 0.000 3.791
Pt 2.191 2.191 0.000


Entry 4:
10
Lattice="4.318 0.000 0.000 0.000 4.318 0.000 0.000 0.000 11.329" Properties=species:S:1:pos:R:3 comment="SmTh2Ge3Pt4 (PBE, relaxed)" e_tot_ev_per_cell=-66.8 mass_density_g_cm3=12.7 pbc="T T T"
Sm 0.000 0.000 0.000
Th 0.000 2.159 8.122
Th 2.159 0.000 3.207
Ge 0.000 2.159 4.287
Ge 2.159 0.000 7.042
Ge 2.159 2.159 0.000
Pt 0.000 0.000 5.665
Pt 0.000 2.159 1.838
Pt 2.159 0.000 9.491
Pt 2.159 2.159 5.665


Entry 5:
10
Lattice="4.213 0.000 0.000 0.000 4.213 0.000 0.000 0.000 10.800" Properties=species:S:1:pos:R:3 comment="Sm2TiGe3Pt4 (PBE, relaxed)" e_tot_ev_per_cell=-64.8 mass_density_g_cm3=11.7 pbc="T T T"
Sm 0.000 2.107 2.580
Sm 2.107 0.000 8.220
Ti 0.000 0.000 5.400
Ge 0.000 2.107 9.330
Ge 2.107 0.000 1.470
Ge 2.107 2.107 5.400
Pt 0.000 0.000 0.000
Pt 0.000 2.107 6.881
Pt 2.107 0.000 3.919
Pt 2.107 2.107 0.000


Entry 6:
10
Lattice="4.215 0.000 0.000 0.000 4.215 0.000 0.000 0.000 10.878" Properties=species:S:1:pos:R:3 comment="Sm2TiGe4Pt3 (PBE, relaxed)" e_tot_ev_per_cell=-62.9 mass_density_g_cm3=10.5 pbc="T T T"
Sm 0.000 2.108 2.667
Sm 2.108 0.000 8.211
Ti 0.000 0.000 5.439
Ge 0.000 0.000 0.000
Ge 0.000 2.108 6.968
Ge 2.108 0.000 3.909
Ge 2.108 2.108 0.000
Pt 0.000 2.108 9.466
Pt 2.108 0.000 1.412
Pt 2.108 2.108 5.439